1.
VASP calculation (GGA-PBE) on a geometry-optimized Hf7Ga2Si2 structure.

Output
- total DFT energy (no corrections) (eV/atom) = -7.997

Cell: 6.1406 6.1406 6.3520 Å, 90.00 90.00 103.75°
Atoms (fractional coordinates):
Hf 0.0000 0.0000 0.0000
Hf 0.0000 0.5000 0.2682
Hf 0.0000 0.5000 0.7318
Hf 0.5000 0.0000 0.2682
Hf 0.5000 0.0000 0.7318
Hf 0.5000 0.5000 0.2601
Hf 0.5000 0.5000 0.7399
Ga 0.1728 0.1728 0.5000
Ga 0.8272 0.8272 0.5000
Si 0.2804 0.7196 0.0000
Si 0.7196 0.2804 0.0000

2.
VASP calculation (GGA-PBE) on a geometry-optimized Hf6Ga5Si structure.

Output
- total DFT energy (no corrections) (eV/atom) = -6.999

Cell: 6.3293 6.3293 6.2087 Å, 97.55 97.55 104.77°
Atoms (fractional coordinates):
Hf 0.0527 0.3870 0.7205
Hf 0.2013 0.2013 0.2055
Hf 0.3870 0.0527 0.7205
Hf 0.6130 0.9473 0.2795
Hf 0.7987 0.7987 0.7945
Hf 0.9473 0.6130 0.2795
Ga 0.2134 0.7866 0.0000
Ga 0.3722 0.6278 0.5000
Ga 0.5000 0.5000 0.0000
Ga 0.6278 0.3722 0.5000
Ga 0.7866 0.2134 0.0000
Si 0.0000 0.0000 0.5000

3.
VASP calculation (GGA-PBE) on a geometry-optimized HfGaSi structure.

Output
- total DFT energy (no corrections) (eV/atom) = -6.503

Cell: 3.7900 3.7900 7.3519 Å, 90.00 90.00 90.00°
Atoms (fractional coordinates):
Hf 0.2500 0.2500 0.1750
Hf 0.7500 0.7500 0.8250
Ga 0.2500 0.7500 0.5000
Ga 0.7500 0.2500 0.5000
Si 0.2500 0.2500 0.8130
Si 0.7500 0.7500 0.1870

4.
VASP calculation (GGA-PBE) on a geometry-optimized HfGaSi structure.

Output
- total DFT energy (no corrections) (eV/atom) = -6.466

Cell: 2.9734 6.8578 5.0901 Å, 90.00 93.31 90.00°
Atoms (fractional coordinates):
Hf 0.0000 0.1786 0.2500
Hf 0.0000 0.8214 0.7500
Ga 0.5000 0.5000 0.0000
Ga 0.5000 0.5000 0.5000
Si 0.5000 0.1562 0.7500
Si 0.5000 0.8438 0.2500

5.
VASP calculation (GGA-PBE) on a geometry-optimized HfGaSi structure.

Output
- total DFT energy (no corrections) (eV/atom) = -6.467

Cell: 6.3550 5.1028 5.2695 Å, 75.55 51.04 53.41°
Atoms (fractional coordinates):
Hf 0.0000 0.0000 0.0000
Hf 0.2500 0.2500 0.2500
Ga 0.3425 0.3425 0.6575
Ga 0.5925 0.5925 0.9075
Si 0.6687 0.6687 0.3313
Si 0.9187 0.9187 0.5813

6.
VASP calculation (GGA-PBE) on a geometry-optimized Hf2GaSi structure.

Output
- total DFT energy (no corrections) (eV/atom) = -7.347

Cell: 6.6248 6.6248 6.6248 Å, 90.00 90.00 90.00°
Atoms (fractional coordinates):
Hf 0.2500 0.2500 0.2500
Hf 0.2500 0.2500 0.7500
Hf 0.2500 0.7500 0.2500
Hf 0.2500 0.7500 0.7500
Hf 0.7500 0.2500 0.2500
Hf 0.7500 0.2500 0.7500
Hf 0.7500 0.7500 0.2500
Hf 0.7500 0.7500 0.7500
Ga 0.0000 0.0000 0.0000
Ga 0.0000 0.5000 0.5000
Ga 0.5000 0.0000 0.5000
Ga 0.5000 0.5000 0.0000
Si 0.0000 0.0000 0.5000
Si 0.0000 0.5000 0.0000
Si 0.5000 0.0000 0.0000
Si 0.5000 0.5000 0.5000

7.
VASP calculation (GGA-PBE) on a geometry-optimized Hf3Ga2SiTc3 structure.

Output
- total DFT energy (no corrections) (eV/atom) = -8.368

Cell: 7.3529 7.3529 3.2332 Å, 90.00 90.00 120.00°
Atoms (fractional coordinates):
Hf 0.0000 0.7270 0.0000
Hf 0.2730 0.2730 0.0000
Hf 0.7270 0.0000 0.0000
Ga 0.3333 0.6667 0.0000
Ga 0.6667 0.3333 0.0000
Si 0.0000 0.0000 0.5000
Tc 0.0000 0.3690 0.5000
Tc 0.3690 0.0000 0.5000
Tc 0.6310 0.6310 0.5000

8.
VASP calculation (GGA-PBE) on a geometry-optimized HfZn2GaSi structure.

Output
- total DFT energy (no corrections) (eV/atom) = -3.590

Cell: 4.5429 4.5429 4.7999 Å, 90.00 90.00 90.00°
Atoms (fractional coordinates):
Hf 0.0000 0.0000 0.0000
Zn 0.0000 0.5000 0.5000
Zn 0.5000 0.0000 0.5000
Ga 0.5000 0.5000 0.0000
Si 0.5000 0.5000 0.5000

9.
VASP calculation (GGA-PBE) on a geometry-optimized Sm2HfGa structure.

Output
- total DFT energy (no corrections) (eV/atom) = -5.720

Cell: 4.6050 4.6050 4.6703 Å, 90.00 90.00 90.00°
Atoms (fractional coordinates):
Sm 0.0000 0.5000 0.0000
Sm 0.5000 0.0000 0.0000
Hf 0.0000 0.0000 0.5000
Ga 0.5000 0.5000 0.5000

10.
VASP calculation (GGA-PBE) on a geometry-optimized Sm2HfGa structure.

Output
- total DFT energy (no corrections) (eV/atom) = -5.739

Cell: 3.4339 3.4339 8.8253 Å, 90.00 90.00 90.00°
Atoms (fractional coordinates):
Sm 0.0000 0.0000 0.2303
Sm 0.0000 0.0000 0.7697
Hf 0.5000 0.5000 0.5000
Ga 0.5000 0.5000 0.0000

11.
VASP calculation (GGA-PBE) on a geometry-optimized SmHf2Ga6 structure.

Output
- total DFT energy (no corrections) (eV/atom) = -5.137

Cell: 7.5480 7.5480 7.5480 Å, 147.94 126.42 63.82°
Atoms (fractional coordinates):
Sm 0.0000 0.0000 0.0000
Hf 0.3806 0.8806 0.5000
Hf 0.6194 0.1194 0.5000
Ga 0.0156 0.3088 0.7068
Ga 0.3157 0.5000 0.8157
Ga 0.3980 0.6912 0.7068
Ga 0.6020 0.3088 0.2932
Ga 0.6843 0.5000 0.1843
Ga 0.9844 0.6912 0.2932

12.
VASP calculation (GGA-PBE) on a geometry-optimized SmHfGa structure.

Output
- total DFT energy (no corrections) (eV/atom) = -5.948

Cell: 3.2940 3.2940 15.2584 Å, 90.00 90.00 120.00°
Atoms (fractional coordinates):
Sm 0.0000 0.0000 0.1733
Sm 0.0000 0.0000 0.8267
Hf 0.3333 0.6667 0.3513
Hf 0.3333 0.6667 0.6487
Ga 0.0000 0.0000 0.5000
Ga 0.3333 0.6667 0.0000

13.
VASP calculation (GGA-PBE) on a geometry-optimized SmHf2Ga9 structure.

Output
- total DFT energy (no corrections) (eV/atom) = -4.741

Cell: 4.1999 4.1999 12.4690 Å, 90.00 90.00 90.00°
Atoms (fractional coordinates):
Sm 0.0000 0.0000 0.0000
Hf 0.0000 0.0000 0.3410
Hf 0.0000 0.0000 0.6590
Ga 0.0000 0.5000 0.1786
Ga 0.0000 0.5000 0.5000
Ga 0.0000 0.5000 0.8214
Ga 0.5000 0.0000 0.1786
Ga 0.5000 0.0000 0.5000
Ga 0.5000 0.0000 0.8214
Ga 0.5000 0.5000 0.0000
Ga 0.5000 0.5000 0.3367
Ga 0.5000 0.5000 0.6633

14.
VASP calculation (GGA-PBE) on a geometry-optimized SmHfGa2 structure.

Output
- total DFT energy (no corrections) (eV/atom) = -5.514

Cell: 5.1362 5.1362 3.2134 Å, 90.00 90.00 90.00°
Atoms (fractional coordinates):
Sm 0.0000 0.0000 0.0000
Hf 0.5000 0.5000 0.0000
Ga 0.0000 0.5000 0.5000
Ga 0.5000 0.0000 0.5000

15.
VASP calculation (GGA-PBE) on a geometry-optimized SmHfGa6 structure.

Output
- total DFT energy (no corrections) (eV/atom) = -4.555

Cell: 4.2408 4.2408 8.3873 Å, 90.00 90.00 90.00°
Atoms (fractional coordinates):
Sm 0.0000 0.0000 0.0000
Hf 0.0000 0.0000 0.5000
Ga 0.0000 0.5000 0.2626
Ga 0.0000 0.5000 0.7374
Ga 0.5000 0.0000 0.2626
Ga 0.5000 0.0000 0.7374
Ga 0.5000 0.5000 0.0000
Ga 0.5000 0.5000 0.5000

16.
VASP calculation (GGA-PBE) on a geometry-optimized SmHfGa2 structure.

Output
- total DFT energy (no corrections) (eV/atom) = -5.441

Cell: 3.5475 3.5475 25.1475 Å, 90.00 90.00 120.00°
Atoms (fractional coordinates):
Sm 0.0000 0.0000 0.0000
Sm 0.3333 0.6667 0.6667
Sm 0.6667 0.3333 0.3333
Hf 0.0000 0.0000 0.5000
Hf 0.3333 0.6667 0.1667
Hf 0.6667 0.3333 0.8333
Ga 0.0000 0.0000 0.2440
Ga 0.0000 0.0000 0.7560
Ga 0.3333 0.6667 0.4226
Ga 0.3333 0.6667 0.9107
Ga 0.6667 0.3333 0.0893
Ga 0.6667 0.3333 0.5774

17.
VASP calculation (GGA-PBE) on a geometry-optimized SmHfGa2 structure.

Output
- total DFT energy (no corrections) (eV/atom) = -5.598

Cell: 3.5961 3.5961 6.5804 Å, 90.00 90.00 90.00°
Atoms (fractional coordinates):
Sm 0.0000 0.0000 0.0000
Hf 0.0000 0.0000 0.5000
Ga 0.5000 0.5000 0.2882
Ga 0.5000 0.5000 0.7118

18.
VASP calculation (GGA-PBE) on a geometry-optimized SmHfGa structure.

Output
- total DFT energy (no corrections) (eV/atom) = -6.008

Cell: 4.7043 4.7043 3.8699 Å, 90.00 90.00 120.00°
Atoms (fractional coordinates):
Sm 0.0000 0.0000 0.0000
Hf 0.3333 0.6667 0.5000
Ga 0.6667 0.3333 0.5000

19.
VASP calculation (GGA-PBE) on a geometry-optimized HfGa2Sn structure.

Output
- total DFT energy (no corrections) (eV/atom) = -4.886

Cell: 4.5508 4.5508 14.3165 Å, 90.00 90.00 120.00°
Atoms (fractional coordinates):
Hf 0.0000 0.0000 0.0000
Hf 0.3333 0.6667 0.6667
Hf 0.6667 0.3333 0.3333
Ga 0.0000 0.0000 0.2572
Ga 0.0000 0.0000 0.7428
Ga 0.3333 0.6667 0.4095
Ga 0.3333 0.6667 0.9238
Ga 0.6667 0.3333 0.0762
Ga 0.6667 0.3333 0.5905
Sn 0.0000 0.0000 0.5000
Sn 0.3333 0.6667 0.1667
Sn 0.6667 0.3333 0.8333

20.
VASP calculation (GGA-PBE) on a geometry-optimized HfGa2Sn2 structure.

Output
- total DFT energy (no corrections) (eV/atom) = -4.808

Cell: 7.3877 7.3877 3.9120 Å, 90.00 90.00 90.00°
Atoms (fractional coordinates):
Hf 0.0000 0.0000 0.0000
Hf 0.5000 0.5000 0.0000
Ga 0.1306 0.3694 0.0000
Ga 0.3694 0.8694 0.0000
Ga 0.6306 0.1306 0.0000
Ga 0.8694 0.6306 0.0000
Sn 0.1705 0.6705 0.5000
Sn 0.3295 0.1705 0.5000
Sn 0.6705 0.8295 0.5000
Sn 0.8295 0.3295 0.5000

21.
VASP calculation (GGA-PBE) on a geometry-optimized HfGa2Sn structure.

Output
- total DFT energy (no corrections) (eV/atom) = -4.936

Cell: 7.7063 7.7063 5.8075 Å, 90.00 90.00 90.00°
Atoms (fractional coordinates):
Hf 0.0000 0.0000 0.0000
Hf 0.0000 0.5000 0.2500
Hf 0.5000 0.0000 0.7500
Hf 0.5000 0.5000 0.5000
Ga 0.2481 0.2500 0.6250
Ga 0.2500 0.7481 0.8750
Ga 0.2500 0.7519 0.3750
Ga 0.2519 0.2500 0.1250
Ga 0.7481 0.7500 0.1250
Ga 0.7500 0.2481 0.3750
Ga 0.7500 0.2519 0.8750
Ga 0.7519 0.7500 0.6250
Sn 0.0000 0.0000 0.5000
Sn 0.0000 0.5000 0.7500
Sn 0.5000 0.0000 0.2500
Sn 0.5000 0.5000 0.0000

22.
VASP calculation (GGA-PBE) on a geometry-optimized HfGaSn2 structure.

Output
- total DFT energy (no corrections) (eV/atom) = -4.940

Cell: 3.3314 3.3314 30.8792 Å, 90.00 90.00 120.00°
Atoms (fractional coordinates):
Hf 0.0000 0.0000 0.0000
Hf 0.3333 0.6667 0.6667
Hf 0.6667 0.3333 0.3333
Ga 0.0000 0.0000 0.5000
Ga 0.3333 0.6667 0.1667
Ga 0.6667 0.3333 0.8333
Sn 0.0000 0.0000 0.0942
Sn 0.0000 0.0000 0.9058
Sn 0.3333 0.6667 0.5725
Sn 0.3333 0.6667 0.7608
Sn 0.6667 0.3333 0.2392
Sn 0.6667 0.3333 0.4275

23.
VASP calculation (GGA-PBE) on a geometry-optimized Hf5Ga2Sn2 structure.

Output
- total DFT energy (no corrections) (eV/atom) = -7.491

Cell: 7.9809 7.9809 7.3269 Å, 90.00 90.00 55.00°
Atoms (fractional coordinates):
Hf 0.0000 0.0000 0.0000
Hf 0.0463 0.7039 0.6738
Hf 0.2039 0.5463 0.1738
Hf 0.2961 0.9537 0.6738
Hf 0.4537 0.7961 0.1738
Hf 0.5000 0.5000 0.5000
Hf 0.5463 0.2039 0.8262
Hf 0.7039 0.0463 0.3262
Hf 0.7961 0.4537 0.8262
Hf 0.9537 0.2961 0.3262
Ga 0.1283 0.8717 0.3733
Ga 0.3717 0.6283 0.8733
Ga 0.6283 0.3717 0.1267
Ga 0.8717 0.1283 0.6267
Sn 0.2121 0.2121 0.0000
Sn 0.2879 0.2879 0.5000
Sn 0.7121 0.7121 0.5000
Sn 0.7879 0.7879 0.0000

24.
VASP calculation (GGA-PBE) on a geometry-optimized Hf2GaSn structure.

Output
- total DFT energy (no corrections) (eV/atom) = -7.123

Cell: 5.6302 3.9831 7.8445 Å, 90.00 109.76 90.00°
Atoms (fractional coordinates):
Hf 0.1831 0.2500 0.4189
Hf 0.2643 0.7500 0.0622
Hf 0.7357 0.2500 0.9378
Hf 0.8169 0.7500 0.5811
Ga 0.1186 0.2500 0.7968
Ga 0.8814 0.7500 0.2032
Sn 0.3935 0.7500 0.7076
Sn 0.6065 0.2500 0.2924

25.
VASP calculation (GGA-PBE) on a geometry-optimized Hf5Ga3Sn structure.

Output
- total DFT energy (no corrections) (eV/atom) = -6.884

Cell: 6.0197 6.0197 11.4722 Å, 91.12 91.12 74.32°
Atoms (fractional coordinates):
Hf 0.0169 0.0169 0.2687
Hf 0.0208 0.5116 0.3378
Hf 0.1695 0.8305 0.0000
Hf 0.2618 0.2618 0.1197
Hf 0.4884 0.9792 0.6622
Hf 0.5116 0.0208 0.3378
Hf 0.7382 0.7382 0.8803
Hf 0.8305 0.1695 0.0000
Hf 0.9792 0.4884 0.6622
Hf 0.9831 0.9831 0.7313
Ga 0.1400 0.1400 0.4975
Ga 0.2274 0.2274 0.8749
Ga 0.5000 0.5000 0.0000
Ga 0.5000 0.5000 0.5000
Ga 0.7726 0.7726 0.1251
Ga 0.8600 0.8600 0.5025
Sn 0.4813 0.4813 0.7382
Sn 0.5187 0.5187 0.2618

Number 1: density of states at the Fermi level 6.76 states/eV per cell. Number 2: density of states at the Fermi level 7.19 states/eV per cell. Number 3: density of states at the Fermi level 3.21 states/eV per cell. Number 4: density of states at the Fermi level 1.83 states/eV per cell. Number 5: density of states at the Fermi level 4.32 states/eV per cell. Number 6: density of states at the Fermi level 18.16 states/eV per cell. Number 7: density of states at the Fermi level 4.12 states/eV per cell. Number 8: density of states at the Fermi level 3.08 states/eV per cell. Number 9: density of states at the Fermi level 3.26 states/eV per cell. Number 10: density of states at the Fermi level 2.84 states/eV per cell. Number 11: density of states at the Fermi level 3.91 states/eV per cell. Number 12: density of states at the Fermi level 5.21 states/eV per cell. Number 13: density of states at the Fermi level 4.61 states/eV per cell. Number 14: density of states at the Fermi level 2.51 states/eV per cell. Number 15: density of states at the Fermi level 3.73 states/eV per cell. Number 16: density of states at the Fermi level 8.47 states/eV per cell. Number 17: density of states at the Fermi level 3.72 states/eV per cell. Number 18: density of states at the Fermi level 1.64 states/eV per cell. Number 19: density of states at the Fermi level 9.29 states/eV per cell. Number 20: density of states at the Fermi level 8.08 states/eV per cell. Number 21: density of states at the Fermi level 9.96 states/eV per cell. Number 22: density of states at the Fermi level 9.48 states/eV per cell. Number 23: density of states at the Fermi level 13.48 states/eV per cell. Number 24: density of states at the Fermi level 3.10 states/eV per cell. Number 25: density of states at the Fermi level 13.81 states/eV per cell.